--- P ---
Below is crystalline Zr2BeSb2 at its relaxed geometry, with properties calculated at the PBE level.

The calculation puts the spin magnetization at 0.0 μB per formula unit. The value obtained for the density of states at the Fermi level is 0.57 states/eV/atom.

The space group is I4/mmm (No. 139) and the conventional cell measures 4.063, 4.063 and 14.510 Å, with angles of 90.00, 90.00 and 90.00 degrees. The inequivalent atoms are Zr at (0.000, 0.000, 0.099), Be at (0.000, 0.000, 0.500) and Sb at (0.000, 0.500, 0.250).

=====

--- Q ---
Below is crystalline Zr2BeSb2 at its relaxed geometry, with properties calculated at the PBE level.

The calculation puts the spin magnetization at 0.0 μB per formula unit. The value obtained for the density of states at the Fermi level is 0.40 states/eV/atom.

The space group is P4/mbm (No. 127) and the conventional cell measures 7.466, 7.466 and 3.926 Å, with angles of 90.00, 90.00 and 90.00 degrees. The inequivalent atoms are Zr at (0.144, 0.356, 0.000), Be at (0.000, 0.000, 0.500) and Sb at (0.157, 0.657, 0.500).

=====

Most stable one: Q, least stable one: P.